CrSCl2F PBE+U relaxed; excess energy over the best structure of this formula in the dataset = 0.3320 eV per atom; final energy = -16.71 eV per formula unit; symmetry = P4/mmm (123)
1.0
5.378 0.000 0.000
0.000 5.378 0.000
0.000 0.000 3.651
Cr S Cl F
1 1 2 1
Direct
0.000 0.000 0.000
0.500 0.500 0.000
0.000 0.500 0.500
0.500 0.000 0.500
0.500 0.500 0.500